No. 1
{"formula": "Ag2Os3", "functional": "PBE-GGA", "state": "optimized geometry", "density_g_cm3": 16.74, "sg": "R-3m, No. 166", "dos_at_fermi_per_ev_cell": 4.1, "crystal_system": "trigonal", "formation_enthalpy_0k_ev_per_atom": 0.515, "lattice_angstrom": [[-11.865, -0.562, -1.631], [-11.171, -0.774, -4.287], [-11.281, -3.027, -2.708]], "species": ["Ag", "Ag", "Os", "Os", "Os"], "frac_coords": [[0.599, 0.599, 0.599], [0.401, 0.401, 0.401], [0.000, 0.000, 0.000], [0.805, 0.805, 0.805], [0.195, 0.195, 0.195]]}

=====

No. 2
{"formula": "CsInB2H8", "functional": "PBE-GGA", "state": "optimized geometry", "density_g_cm3": 2.62, "sg": "R-3, No. 148", "dos_at_fermi_per_ev_cell": 0.0, "crystal_system": "trigonal", "e_tot_ev_per_atom": -3.860, "lattice_angstrom": [[-4.712, -1.313, 1.159], [-0.922, -4.488, 2.069], [-0.967, 1.250, 8.389]], "species": ["Cs", "In", "B", "B", "H", "H", "H", "H", "H", "H", "H", "H"], "frac_coords": [[0.500, 0.500, 0.500], [0.000, 0.000, 0.000], [0.257, 0.257, 0.230], [0.743, 0.743, 0.770], [0.206, 0.206, 0.383], [0.411, 0.404, 0.179], [0.794, 0.794, 0.617], [0.006, 0.411, 0.179], [0.994, 0.589, 0.821], [0.404, 0.006, 0.179], [0.596, 0.994, 0.821], [0.589, 0.596, 0.821]]}

=====

No. 3
{"formula": "HfSbRu2", "functional": "PBE-GGA", "state": "optimized geometry", "density_g_cm3": 10.99, "e_form_raw_ev_per_atom": 0.27, "sg": "I-42d, No. 122", "dos_at_fermi_per_ev_cell": 8.9, "crystal_system": "tetragonal", "lattice_angstrom": [[-2.915, -6.397, -0.596], [6.305, -2.975, 1.085], [1.161, -4.723, 3.247]], "species": ["Sb", "Sb", "Hf", "Hf", "Ru", "Ru", "Ru", "Ru"], "frac_coords": [[0.500, 0.500, 0.000], [0.250, 0.750, 0.500], [0.000, 0.000, 0.000], [0.750, 0.250, 0.500], [0.624, 0.125, 0.250], [0.126, 0.625, 0.250], [0.375, 0.376, 0.750], [0.875, 0.874, 0.750]]}

=====

No. 4
{"formula": "TiCl", "functional": "PBE-GGA", "state": "optimized geometry", "density_g_cm3": 3.88, "e_form_raw_ev_per_atom": -0.66, "sg": "P6_3mc, No. 186", "dos_at_fermi_per_ev_cell": 2.2, "crystal_system": "hexagonal", "lattice_angstrom": [[3.139, 0.000, 0.000], [-1.570, 2.719, 0.000], [0.000, 0.000, 8.362]], "species": ["Ti", "Ti", "Cl", "Cl"], "frac_coords": [[0.333, 0.667, 0.690], [0.667, 0.333, 0.190], [0.333, 0.667, 0.392], [0.667, 0.333, 0.892]]}

=====

No. 5
{"formula": "YNpTe6", "functional": "PBE-GGA", "state": "optimized geometry", "density_g_cm3": 7.18, "e_form_raw_ev_per_atom": -0.73, "sg": "Amm2, No. 38", "dos_at_fermi_per_ev_cell": 12.0, "crystal_system": "orthorhombic", "lattice_angstrom": [[0.682, -1.094, -4.168], [-0.504, -4.213, 1.023], [-13.347, 1.523, -0.299]], "species": ["Y", "Np", "Te", "Te", "Te", "Te", "Te", "Te"], "frac_coords": [[0.828, 0.000, 0.657], [0.171, 0.500, 0.341], [0.580, 0.500, 0.161], [0.421, 0.000, 0.842], [0.292, 0.500, 0.585], [0.705, 0.000, 0.411], [0.921, 0.500, 0.843], [0.080, 0.000, 0.161]]}

=====

No. 6
{"formula": "ZnCr2Rh2", "functional": "PBE-GGA", "state": "optimized geometry", "relative_energy_mev_per_atom": 25, "density_g_cm3": 8.90, "sg": "P4/mbm, No. 127", "dos_at_fermi_per_ev_cell": 9.4, "crystal_system": "tetragonal", "formation_enthalpy_0k_ev_per_atom": 0.095, "lattice_angstrom": [[-1.088, -6.867, -2.074], [-2.010, -1.721, 6.756], [-2.523, 0.582, -0.602]], "species": ["Cr", "Cr", "Cr", "Cr", "Zn", "Zn", "Rh", "Rh", "Rh", "Rh"], "frac_coords": [[0.165, 0.665, 0.500], [0.665, 0.835, 0.500], [0.835, 0.335, 0.500], [0.335, 0.165, 0.500], [0.000, 0.000, 0.000], [0.500, 0.500, 0.000], [0.370, 0.870, 0.000], [0.870, 0.630, 0.000], [0.630, 0.130, 0.000], [0.130, 0.370, 0.000]]}

=====

No. 7
{"formula": "Sn2Hg3Au4", "functional": "PBE-GGA", "state": "optimized geometry", "density_g_cm3": 13.00, "sg": "C2/m, No. 12", "dos_at_fermi_per_ev_cell": 2.9, "crystal_system": "monoclinic", "formation_enthalpy_0k_ev_per_atom": -0.014, "lattice_angstrom": [[3.471, 0.000, 0.000], [-1.736, 6.034, -2.837], [0.000, -0.248, 10.038]], "species": ["Sn", "Sn", "Hg", "Hg", "Hg", "Au", "Au", "Au", "Au"], "frac_coords": [[0.685, 0.369, 0.329], [0.315, 0.631, 0.671], [0.606, 0.213, 0.733], [0.000, 0.000, 0.000], [0.394, 0.787, 0.267], [0.690, 0.379, 0.053], [0.310, 0.621, 0.947], [0.912, 0.824, 0.541], [0.088, 0.176, 0.459]]}

=====

No. 8
{"formula": "AlAg3F7", "functional": "PBE-GGA", "state": "optimized geometry", "density_g_cm3": 4.20, "e_form_raw_ev_per_atom": -1.89, "sg": "R3m, No. 160", "dos_at_fermi_per_ev_cell": 9.7, "crystal_system": "trigonal", "lattice_angstrom": [[5.694, 0.488, -0.854], [-1.059, 5.616, -0.854], [0.371, 0.488, 5.746]], "species": ["Al", "Ag", "Ag", "Ag", "F", "F", "F", "F", "F", "F", "F"], "frac_coords": [[0.908, 0.908, 0.908], [0.972, 0.410, 0.410], [0.410, 0.410, 0.972], [0.410, 0.972, 0.410], [0.062, 0.735, 0.735], [0.257, 0.257, 0.629], [0.629, 0.257, 0.257], [0.735, 0.735, 0.062], [0.735, 0.062, 0.735], [0.093, 0.093, 0.093], [0.257, 0.629, 0.257]]}

=====

What did the first record say?
{"formula": "Ag2Os3", "functional": "PBE-GGA", "state": "optimized geometry", "density_g_cm3": 16.74, "sg": "R-3m, No. 166", "dos_at_fermi_per_ev_cell": 4.1, "crystal_system": "trigonal", "formation_enthalpy_0k_ev_per_atom": 0.515, "lattice_angstrom": [[-11.865, -0.562, -1.631], [-11.171, -0.774, -4.287], [-11.281, -3.027, -2.708]], "species": ["Ag", "Ag", "Os", "Os", "Os"], "frac_coords": [[0.599, 0.599, 0.599], [0.401, 0.401, 0.401], [0.000, 0.000, 0.000], [0.805, 0.805, 0.805], [0.195, 0.195, 0.195]]}